InI3N | PBE | relaxed

Structure (CIF):
```
data_InI3N
_chemical_formula_sum 'In1 I3 N1'
_space_group_name_H-M_alt 'P 1'
_space_group_IT_number 1
_cell_length_a 5.945
_cell_length_b 5.945
_cell_length_c 5.945
_cell_angle_alpha 90.00
_cell_angle_beta 90.00
_cell_angle_gamma 90.00
loop_
_space_group_symop_operation_xyz
'x,y,z'
loop_
_atom_site_label
_atom_site_type_symbol
_atom_site_fract_x
_atom_site_fract_y
_atom_site_fract_z
In1 In 0.000 0.000 0.000
I1 I 0.000 0.000 0.500
I2 I 0.000 0.500 0.000
I3 I 0.500 0.000 0.000
N1 N 0.500 0.500 0.500
```

## Properties
Symmetry: Pm-3m (221)
Energy above the lowest structure with this stoichiometry, meV per atom: 350.7
Formation energy without anion corrections, eV per atom: 0.834